Entry 1:
Zn2CoRh: relaxed, PBEsol.

Output
DOS(E_F) ... 8.3 states/eV per cell
Magnetic moment ... 3.8 μB per cell
Energy of formation from the pure elements ... 0.0666 eV per atom

Cell: 2.7414 4.4285 8.5115 Å, 90.00 90.00 90.00°
Closest atoms and distances in Å follow each position.
Space group Cmm2 (No. 35)
Symmetry-distinct sites (fractional):
Zn 0.0000 0.0000 0.0000 x2  2 Co 2.46, 8 Zn 2.60-2.74
Zn 0.0000 0.5000 0.2649 x2  2 Rh 2.56, 8 Zn 2.60-2.74
Co 0.0000 0.5000 0.7605 x2  2 Zn 2.46, 2 Rh 2.48, 6 Co 2.60-2.74
Rh 0.0000 0.0000 0.5182 x2  2 Co 2.48, 2 Zn 2.56, 6 Rh 2.60-2.74

Entry 2:
ZnCoRh2: relaxed, PBEsol.

Output
DOS(E_F) ... 7.9 states/eV per cell
Magnetic moment ... 0.6 μB per cell
Energy of formation from the pure elements ... -0.0629 eV per atom

Cell: 3.6480 3.6480 7.4901 Å, 90.00 90.00 90.00°
Closest atoms and distances in Å follow each position.
Space group I-4m2 (No. 119)
Symmetry-distinct sites (fractional):
Zn 0.0000 0.0000 0.0000 x2  8 Rh 2.58-2.61, 4 Co 2.61
Co 0.0000 0.5000 0.2500 x2  8 Rh 2.58-2.61, 4 Zn 2.61
Rh 0.0000 0.0000 0.5000 x2  4 Zn 2.58, 4 Co 2.61, 4 Rh 2.61
Rh 0.0000 0.5000 0.7500 x2  4 Co 2.58, 4 Rh 2.61, 4 Zn 2.61

Entry 3:
ZnCoRh2: relaxed, PBEsol.

Output
DOS(E_F) ... 4.8 states/eV per cell
Magnetic moment ... 2.7 μB per cell
Energy of formation from the pure elements ... -0.0955 eV per atom

Cell: 2.7207 2.7207 6.8555 Å, 90.00 90.00 90.00°
Closest atoms and distances in Å follow each position.
Space group P4/mmm (No. 123)
Symmetry-distinct sites (fractional):
Zn 0.0000 0.0000 0.0000 x1  8 Rh 2.62, 4 Zn 2.72
Co 0.0000 0.0000 0.5000 x1  8 Rh 2.53, 4 Co 2.72
Rh 0.5000 0.5000 0.2594 x2  4 Co 2.53, 4 Zn 2.62, 4 Rh 2.72

Entry 4:
ZnCoRh2: relaxed, PBEsol.

Output
DOS(E_F) ... 5.4 states/eV per cell
Magnetic moment ... 2.5 μB per cell
Energy of formation from the pure elements ... 0.0642 eV per atom

Cell: 2.6054 4.2600 4.6649 Å, 90.00 93.05 90.00°
Closest atoms and distances in Å follow each position.
Space group P2/m (No. 10)
Symmetry-distinct sites (fractional):
Zn 0.0000 0.0000 0.0000 x1  4 Rh 2.54, 2 Zn 2.61, 4 Co 2.61-2.73
Co 0.5000 0.0000 0.5000 x1  4 Rh 2.52, 2 Co 2.61, 4 Zn 2.61-2.73
Rh 0.2560 0.5000 0.7460 x2  2 Co 2.52, 2 Zn 2.54, 6 Rh 2.59-2.78

Entry 5:
ZrCo4Rh: relaxed, PBEsol.

Output
DOS(E_F) ... 23.8 states/eV per cell
Magnetic moment ... 24.6 μB per cell
Energy of formation from the pure elements ... -0.2518 eV per atom

Cell: 6.6837 6.6837 6.6837 Å, 90.00 90.00 90.00°
Closest atoms and distances in Å follow each position.
Space group F-43m (No. 216)
Symmetry-distinct sites (fractional):
Zr 0.0000 0.0000 0.0000 x4  12 Co 2.77, 4 Rh 2.89
Co 0.1242 0.1242 0.3758 x16  6 Co 2.35-2.38
Rh 0.2500 0.2500 0.7500 x4  12 Co 2.77, 4 Zr 2.89

Entry 6:
CoRu3: relaxed, PBEsol.

Output
DOS(E_F) ... 8.5 states/eV per cell
Magnetic moment ... 0.0 μB per cell
Energy of formation from the pure elements ... 0.1575 eV per atom

Cell: 8.6257 2.6173 4.5134 Å, 90.00 99.95 90.00°
Closest atoms and distances in Å follow each position.
Space group C2/m (No. 12)
Symmetry-distinct sites (fractional):
Co 0.0000 0.0000 0.0000 x2  10 Ru 2.59-2.61, 2 Co 2.62
Ru 0.0000 0.5000 0.5000 x2  8 Ru 2.61-2.63, 4 Co 2.61
Ru 0.2485 0.5000 0.2432 x4  9 Ru 2.56-2.66, 3 Co 2.59

Entry 7:
CoRu3: relaxed, PBEsol.

Output
DOS(E_F) ... 4.4 states/eV per cell
Magnetic moment ... 0.4 μB per cell
Energy of formation from the pure elements ... 0.0756 eV per atom

Cell: 2.6566 4.1451 4.5560 Å, 90.00 90.00 90.00°
Closest atoms and distances in Å follow each position.
Space group Pmm2 (No. 25)
Symmetry-distinct sites (fractional):
Co 0.0000 0.0000 0.0000 x1  10 Ru 2.55-2.65, 2 Co 2.66
Ru 0.0000 0.5000 0.3255 x1  2 Co 2.55, 10 Ru 2.56-2.71
Ru 0.5000 0.0000 0.5042 x1  8 Ru 2.59-2.66, 4 Co 2.62-2.65
Ru 0.5000 0.5000 0.8444 x1  4 Co 2.56, 8 Ru 2.56-2.71

Entry 8:
CoRu3: relaxed, PBEsol.

Output
DOS(E_F) ... 4.3 states/eV per cell
Magnetic moment ... 0.0 μB per cell
Energy of formation from the pure elements ... 0.1522 eV per atom

Cell: 2.6107 2.6107 7.3348 Å, 90.00 90.00 90.00°
Closest atoms and distances in Å follow each position.
Space group P4/mmm (No. 123)
Symmetry-distinct sites (fractional):
Co 0.0000 0.0000 0.0000 x1  8 Ru 2.55, 4 Co 2.61
Ru 0.0000 0.0000 0.5000 x1  12 Ru 2.61-2.66
Ru 0.5000 0.5000 0.2397 x2  4 Co 2.55, 8 Ru 2.61-2.66